Record 1
Entry from the Alexandria database: a relaxed Li2CaLaSn2 crystal (PBE).

```
Li2CaLaSn2
1.0
4.8633 0.0000 0.0000
-2.4317 4.2118 0.0000
0.0000 0.0000 7.6265
Li Ca La Sn
2 1 1 2
direct
0.3333 0.6667 0.2803
0.6667 0.3333 0.7197
0.0000 0.0000 0.5000
0.0000 0.0000 0.0000
0.3333 0.6667 0.7545
0.6667 0.3333 0.2455
```

## Properties
Energy relative to the elements = -3.69 eV/f.u.
SG = P-3m1, No. 164
Calculated density = 4.57 Mg/m³
VASP energy = -3.7417 eV per atom

=====

Record 2
Entry from the Alexandria database: a relaxed MgCrFe2 crystal (PBE).

```
MgCrFe2
1.0
3.7014 0.0000 0.0000
0.0000 3.7014 0.0000
0.0000 0.0000 3.7623
Mg Cr Fe
1 1 2
direct
0.0000 0.0000 0.0000
0.5000 0.5000 0.0000
0.0000 0.5000 0.5000
0.5000 0.0000 0.5000
```

## Properties
Energy relative to the elements = 1.83 eV/f.u.
SG = P4/mmm, No. 123
Calculated density = 6.06 Mg/m³
VASP energy = -6.5791 eV per atom

=====

Record 3
Entry from the Alexandria database: a relaxed Ag2PbCl4 crystal (PBE).

```
Ag2PbCl4
1.0
6.3027 -2.2135 0.0000
6.3027 2.2135 0.0000
-1.7898 0.0000 7.2844
Ag Pb Cl
2 1 4
direct
0.1272 0.1272 0.0540
0.8728 0.8728 0.9460
0.5000 0.5000 0.5000
0.1222 0.1222 0.3897
0.3702 0.3702 0.1201
0.6298 0.6298 0.8799
0.8778 0.8778 0.6103
```

## Properties
SG = C2/m, No. 12
ΔE_f (raw) = -744.9 meV per atom
Relative energy among the computed polymorphs = 0 meV/atom
Calculated density = 4.61 Mg/m³
VASP energy = -3.1445 eV per atom